Here is crystalline Sc3IrPb at its relaxed geometry from the Alexandria database. Energies are from PBE.

Values from the calculation:
energy of formation	949.6	meV per atom

Cell and atoms, written as POSCAR:
```
Sc3IrPb
1.0
5.238 0.000 0.000
0.000 5.238 0.000
0.000 0.000 5.238
Sc Ir Pb
3 1 1
direct
0.000 0.000 0.500
0.000 0.500 0.000
0.500 0.000 0.000
0.500 0.500 0.500
0.000 0.000 0.000
```

Here is crystalline Ba2LiTlNi at its relaxed geometry from the Alexandria database. Energies are from PBE.

Values from the calculation:
energy of formation	-16.5	meV per atom

Cell and atoms, written as POSCAR:
```
Ba2LiTlNi
1.0
6.043 0.000 0.000
0.000 6.043 0.000
0.000 0.000 4.775
Ba Li Tl Ni
2 1 1 1
direct
0.000 0.500 0.000
0.500 0.000 0.000
0.000 0.000 0.500
0.500 0.500 0.500
0.000 0.000 0.000
```

Here is crystalline CoOsRh2 at its relaxed geometry from the Alexandria database. Energies are from PBE.

Values from the calculation:
energy of formation	88.8	meV per atom

Cell and atoms, written as POSCAR:
```
CoOsRh2
1.0
4.440 -1.337 0.000
4.440 1.337 0.000
-0.804 0.000 4.520
Co Os Rh
1 1 2
direct
0.000 0.000 0.000
0.500 0.500 0.500
0.251 0.251 0.752
0.749 0.749 0.248
```

Here is crystalline Sc3InO at its relaxed geometry from the Alexandria database. Energies are from PBE.

Values from the calculation:
formation energy (no corrections)	-6.19	eV per formula unit

Cell and atoms, written as POSCAR:
```
Sc3InO
1.0
3.199 0.000 0.000
0.000 7.691 0.000
-0.007 0.000 8.023
Sc In O
6 2 2
direct
0.001 0.057 0.281
0.001 0.443 0.281
0.499 0.750 0.037
0.501 0.250 0.963
0.999 0.557 0.719
0.999 0.943 0.719
0.498 0.250 0.594
0.502 0.750 0.406
0.499 0.750 0.783
0.501 0.250 0.217
```

Here is crystalline Mn2RhSe at its relaxed geometry from the Alexandria database. Energies are from PBE.

Values from the calculation:
formation energy (no corrections)	-0.05	eV per formula unit

Cell and atoms, written as POSCAR:
```
Mn2RhSe
1.0
3.265 0.000 0.000
0.000 3.265 0.000
0.000 0.000 5.783
Mn Rh Se
2 1 1
direct
0.000 0.000 0.247
0.000 0.000 0.753
0.500 0.500 0.000
0.500 0.500 0.500
```

Here is crystalline Cd2Hg3 at its relaxed geometry from the Alexandria database. Energies are from PBE.

Values from the calculation:
energy of formation	23.4	meV per atom

Cell and atoms, written as POSCAR:
```
Cd2Hg3
1.0
0.000 9.971 1.637
7.982 0.000 1.637
7.982 9.971 0.000
Cd Hg
4 6
direct
0.142 0.858 0.272
0.522 0.978 0.392
0.858 0.142 0.728
0.978 0.522 0.108
0.015 0.015 0.485
0.449 0.546 0.752
0.498 0.997 0.801
0.546 0.449 0.253
0.765 0.765 0.235
0.997 0.498 0.704
```

Here is crystalline HoGe2Pt5 at its relaxed geometry from the Alexandria database. Energies are from PBE.

Values from the calculation:
energy of formation	-691.3	meV per atom

Cell and atoms, written as POSCAR:
```
HoGe2Pt5
1.0
-1.931 3.624 5.011
1.931 -3.624 5.011
1.931 3.624 -5.011
Ho Ge Pt
1 2 5
direct
0.000 0.000 0.000
0.250 0.750 0.500
0.750 0.250 0.500
0.155 0.360 0.795
0.436 0.640 0.795
0.500 0.000 0.500
0.564 0.360 0.205
0.845 0.640 0.205
```

Here is crystalline CrCd at its relaxed geometry from the Alexandria database. Energies are from PBE.

Values from the calculation:
energy of formation	399.6	meV per atom

Cell and atoms, written as POSCAR:
```
CrCd
1.0
4.723 -1.488 0.000
4.723 1.488 0.000
-2.597 0.000 6.989
Cr Cd
3 3
direct
0.000 0.000 0.000
0.334 0.334 0.096
0.666 0.666 0.904
0.000 0.000 0.500
0.323 0.323 0.694
0.677 0.677 0.306
```

Number 2 is which compound? Ba2LiTlNi